1.
The following is a DFT calculation (PBE-GGA) of a relaxed PmBeSiPt3 crystal.

Computed properties:
- E_tot: -6.203 eV/atom
- SG: Cmcm (63)
- Uncorrected formation energy: -866 meV per atom

Unit cell a=5.5788 b=6.4415 c=6.6702 alpha=118.87 beta=90.00 gamma=90.00
Element x y z (fractional)
1 Pm 0.7500 0.2750 0.5500
2 Pm 0.2500 0.7250 0.4500
3 Be 0.2500 0.9835 0.9669
4 Be 0.7500 0.0165 0.0331
5 Si 0.2500 0.3783 0.7566
6 Si 0.7500 0.6217 0.2434
7 Pt 0.2500 0.1801 0.3601
8 Pt 0.0000 0.2773 0.0000
9 Pt 0.5000 0.7227 0.0000
10 Pt 0.5000 0.2773 0.0000
11 Pt 0.0000 0.7227 0.0000
12 Pt 0.7500 0.8199 0.6399



2.
The following is a DFT calculation (PBE-GGA) of a relaxed PmBeSiPt2 crystal.

Computed properties:
- E_tot: -6.146 eV/atom
- SG: I-4m2 (119)
- Uncorrected formation energy: -950 meV per atom

Unit cell a=4.1689 b=4.1689 c=5.8178 alpha=111.00 beta=111.00 gamma=90.00
Element x y z (fractional)
1 Pm 0.0000 0.0000 0.0000
2 Be 0.7500 0.2500 0.5000
3 Si 0.2500 0.7500 0.5000
4 Pt 0.6346 0.6346 0.2693
5 Pt 0.3654 0.3654 0.7307